Entry from Alexandria: ErThSe after structural relaxation (PBE).

Unit cell a=7.9086 b=7.9086 c=7.9086 alpha=60.00 beta=60.00 gamma=60.00
With the nearest neighbours (Å) after each atom.
Fractional coordinates of all 12 atoms:
Er (0.1150, 0.1150, 0.1150)  3 Se 2.85
Er (0.1150, 0.1150, 0.6551)  3 Se 2.85
Er (0.1150, 0.6551, 0.1150)  3 Se 2.85
Er (0.6551, 0.1150, 0.1150)  3 Se 2.85
Th (0.1029, 0.6324, 0.6324)  3 Se 2.94
Th (0.6324, 0.1029, 0.6324)  3 Se 2.94
Th (0.6324, 0.6324, 0.1029)  3 Se 2.94
Th (0.6324, 0.6324, 0.6324)  3 Se 2.94
Se (0.3691, 0.3691, 0.3691)  3 Er 2.85, 3 Th 2.94
Se (0.3691, 0.3691, 0.8927)  3 Er 2.85, 3 Th 2.94
Se (0.3691, 0.8927, 0.3691)  3 Er 2.85, 3 Th 2.94
Se (0.8927, 0.3691, 0.3691)  3 Er 2.85, 3 Th 2.94

Properties
Its theoretical density is 9.082 Mg/m³. As for the energy above the most stable polymorph in this dataset: 52 meV/atom. The calculation puts the uncorrected formation energy at -2.6 eV/f.u.

***

Entry from Alexandria: Er2TmTh3Se6 after structural relaxation (PBE).

Unit cell a=6.8659 b=6.8659 c=7.5919 alpha=98.67 beta=98.67 gamma=119.78
With the nearest neighbours (Å) after each atom.
Fractional coordinates of all 12 atoms:
Er (0.1665, 0.8335, 0.0000)  6 Se 2.83
Er (0.8335, 0.1665, 0.0000)  6 Se 2.83
Tm (0.5000, 0.5000, 0.0000)  6 Se 2.82
Th (0.0000, 0.0000, 0.5000)  6 Se 3.01-3.02
Th (0.3327, 0.6673, 0.5000)  6 Se 3.02
Th (0.6673, 0.3327, 0.5000)  6 Se 3.02
Se (0.0916, 0.4238, 0.7713)  1 Tm 2.82, 2 Er 2.83, 3 Th 3.01-3.02
Se (0.2445, 0.2445, 0.2295)  1 Tm 2.82, 2 Er 2.83, 3 Th 3.02
Se (0.4238, 0.0916, 0.7713)  1 Tm 2.82, 2 Er 2.83, 3 Th 3.01-3.02
Se (0.5762, 0.9084, 0.2287)  1 Tm 2.82, 2 Er 2.83, 3 Th 3.01-3.02
Se (0.7555, 0.7555, 0.7705)  1 Tm 2.82, 2 Er 2.83, 3 Th 3.02
Se (0.9084, 0.5762, 0.2287)  1 Tm 2.82, 2 Er 2.83, 3 Th 3.01-3.02

Properties
Its theoretical density is 9.379 Mg/m³. The calculation puts the uncorrected formation energy at -19.3 eV/f.u.

***

Entry from Alexandria: ErTm2Th3Se6 after structural relaxation (PBE).

Unit cell a=6.8563 b=6.8563 c=7.5976 alpha=98.65 beta=98.65 gamma=119.82
With the nearest neighbours (Å) after each atom.
Fractional coordinates of all 12 atoms:
Er (0.0000, 0.0000, 0.0000)  6 Se 2.83
Tm (0.3332, 0.6668, 0.0000)  6 Se 2.82
Tm (0.6668, 0.3332, 0.0000)  6 Se 2.82
Th (0.1661, 0.8339, 0.5000)  6 Se 3.01-3.02
Th (0.5000, 0.5000, 0.5000)  6 Se 3.01-3.02
Th (0.8339, 0.1661, 0.5000)  6 Se 3.01-3.02
Se (0.0763, 0.4109, 0.2286)  2 Tm 2.82, 1 Er 2.83, 3 Th 3.01-3.02
Se (0.2587, 0.2587, 0.7721)  2 Tm 2.82, 1 Er 2.83, 3 Th 3.01-3.02
Se (0.4109, 0.0763, 0.2286)  2 Tm 2.82, 1 Er 2.83, 3 Th 3.01-3.02
Se (0.5891, 0.9237, 0.7714)  2 Tm 2.82, 1 Er 2.83, 3 Th 3.01-3.02
Se (0.7413, 0.7413, 0.2279)  2 Tm 2.82, 1 Er 2.83, 3 Th 3.01-3.02
Se (0.9237, 0.5891, 0.7714)  2 Tm 2.82, 1 Er 2.83, 3 Th 3.01-3.02

Properties
Its theoretical density is 9.410 Mg/m³. The calculation puts the uncorrected formation energy at -19.3 eV/f.u.

***

Entry from Alexandria: ErTm2ThSe4 after structural relaxation (PBE).

Unit cell a=7.0704 b=4.0118 c=7.1182 alpha=90.00 beta=108.76 gamma=90.00
With the nearest neighbours (Å) after each atom.
Fractional coordinates of all 8 atoms:
Er (0.0000, 0.0000, 0.0000)  6 Se 2.89-2.90
Tm (0.0000, 0.5000, 0.5000)  6 Se 2.80-2.81
Tm (0.5000, 0.0000, 0.5000)  6 Se 2.87-2.88
Th (0.5000, 0.5000, 0.0000)  6 Se 2.96
Se (0.2372, 0.0000, 0.7356)  3 Tm 2.80-2.88, 1 Er 2.90, 2 Th 2.96
Se (0.2449, 0.5000, 0.2582)  3 Tm 2.81-2.87, 2 Er 2.89, 1 Th 2.96
Se (0.7551, 0.5000, 0.7418)  3 Tm 2.81-2.87, 2 Er 2.89, 1 Th 2.96
Se (0.7628, 0.0000, 0.2644)  3 Tm 2.80-2.88, 1 Er 2.90, 2 Th 2.96

Properties
Its theoretical density is 9.146 Mg/m³. The calculation puts the uncorrected formation energy at -13.0 eV/f.u.

***

Entry from Alexandria: Er3TmTh4Se8 after structural relaxation (PBE).

Unit cell a=8.4976 b=8.4976 c=8.4976 alpha=56.15 beta=56.15 gamma=56.15
With the nearest neighbours (Å) after each atom.
Fractional coordinates of all 16 atoms:
Er (0.0000, 0.5000, 0.5000)  6 Se 2.83
Er (0.5000, 0.0000, 0.5000)  6 Se 2.83
Er (0.5000, 0.5000, 0.0000)  6 Se 2.83
Tm (0.0000, 0.0000, 0.0000)  6 Se 2.83
Th (0.0000, 0.0000, 0.5000)  6 Se 3.01
Th (0.0000, 0.5000, 0.0000)  6 Se 3.01
Th (0.5000, 0.0000, 0.0000)  6 Se 3.01
Th (0.5000, 0.5000, 0.5000)  6 Se 3.01
Se (0.2427, 0.2427, 0.7441)  1 Tm 2.83, 2 Er 2.83, 3 Th 3.01
Se (0.2427, 0.7441, 0.2427)  1 Tm 2.83, 2 Er 2.83, 3 Th 3.01
Se (0.2559, 0.7573, 0.7573)  1 Tm 2.83, 2 Er 2.83, 3 Th 3.01
Se (0.2566, 0.2566, 0.2566)  3 Er 2.83, 3 Th 3.01
Se (0.7434, 0.7434, 0.7434)  3 Er 2.83, 3 Th 3.01
Se (0.7441, 0.2427, 0.2427)  1 Tm 2.83, 2 Er 2.83, 3 Th 3.01
Se (0.7573, 0.2559, 0.7573)  1 Tm 2.83, 2 Er 2.83, 3 Th 3.01
Se (0.7573, 0.7573, 0.2559)  1 Tm 2.83, 2 Er 2.83, 3 Th 3.01

Properties
Its theoretical density is 9.372 Mg/m³. The calculation puts the uncorrected formation energy at -25.9 eV/f.u.

***

Entry from Alexandria: Er3Tm2ThSe6 after structural relaxation (PBE).

Unit cell a=9.0417 b=9.0417 c=8.2125 alpha=101.37 beta=101.37 gamma=25.68
With the nearest neighbours (Å) after each atom.
Fractional coordinates of all 12 atoms:
Er (0.0000, 0.0000, 0.0000)  6 Se 2.79-2.92
Er (0.3419, 0.3419, 0.6637)  6 Se 2.79-2.92
Er (0.6581, 0.6581, 0.3363)  6 Se 2.79-2.92
Tm (0.3366, 0.3366, 0.1697)  6 Se 2.77-2.90
Tm (0.6634, 0.6634, 0.8303)  6 Se 2.77-2.90
Th (0.0000, 0.0000, 0.5000)  6 Se 2.96-3.03
Se (0.1690, 0.1690, 0.0846)  3 Tm 2.89-2.90, 3 Er 2.92
Se (0.1750, 0.1750, 0.5919)  2 Tm 2.84, 3 Er 2.88, 1 Th 3.03
Se (0.4969, 0.4969, 0.2344)  1 Tm 2.77, 3 Er 2.79, 2 Th 2.96
Se (0.5031, 0.5031, 0.7656)  1 Tm 2.77, 3 Er 2.79, 2 Th 2.96
Se (0.8250, 0.8250, 0.4081)  2 Tm 2.84, 3 Er 2.88, 1 Th 3.03
Se (0.8310, 0.8310, 0.9154)  3 Tm 2.89-2.90, 3 Er 2.92

Properties
Its theoretical density is 9.006 Mg/m³. The calculation puts the uncorrected formation energy at -19.8 eV/f.u.

***

Entry from Alexandria: Er2TmThSe4 after structural relaxation (PBE).

Unit cell a=7.0524 b=4.0231 c=7.1487 alpha=90.00 beta=108.85 gamma=90.00
With the nearest neighbours (Å) after each atom.
Fractional coordinates of all 8 atoms:
Er (0.0000, 0.0000, 0.0000)  6 Se 2.89-2.90
Er (0.0000, 0.5000, 0.5000)  6 Se 2.81-2.82
Tm (0.5000, 0.0000, 0.5000)  6 Se 2.87-2.88
Th (0.5000, 0.5000, 0.0000)  6 Se 2.96
Se (0.2385, 0.0000, 0.7367)  3 Er 2.81-2.90, 1 Tm 2.88, 2 Th 2.96
Se (0.2457, 0.5000, 0.2577)  3 Er 2.82-2.89, 2 Tm 2.87, 1 Th 2.96
Se (0.7543, 0.5000, 0.7423)  3 Er 2.82-2.89, 2 Tm 2.87, 1 Th 2.96
Se (0.7615, 0.0000, 0.2633)  3 Er 2.81-2.90, 1 Tm 2.88, 2 Th 2.96

Properties
Its theoretical density is 9.095 Mg/m³. The calculation puts the uncorrected formation energy at -13.0 eV/f.u.

***

Entry from Alexandria: Y2ErTh3Se6 after structural relaxation (PBE).

Unit cell a=9.4738 b=9.4738 c=8.5001 alpha=108.41 beta=108.41 gamma=24.60
With the nearest neighbours (Å) after each atom.
Fractional coordinates of all 12 atoms:
Y (0.1668, 0.1668, 0.3330)  6 Se 2.86-2.87
Y (0.8332, 0.8332, 0.6670)  6 Se 2.86-2.87
Er (0.5000, 0.5000, 0.0000)  6 Se 2.84-2.85
Th (0.1672, 0.1672, 0.8331)  6 Se 3.00-3.02
Th (0.5000, 0.5000, 0.5000)  6 Se 3.01-3.02
Th (0.8328, 0.8328, 0.1669)  6 Se 3.00-3.02
Se (0.0033, 0.0033, 0.2382)  2 Er 2.85, 1 Y 2.87, 3 Th 3.02
Se (0.3297, 0.3297, 0.4259)  3 Y 2.86, 3 Th 3.00-3.01
Se (0.3383, 0.3383, 0.9095)  1 Er 2.84, 2 Y 2.86, 3 Th 3.00-3.02
Se (0.6617, 0.6617, 0.0905)  1 Er 2.84, 2 Y 2.86, 3 Th 3.00-3.02
Se (0.6703, 0.6703, 0.5741)  3 Y 2.86, 3 Th 3.00-3.01
Se (0.9967, 0.9967, 0.7618)  2 Er 2.85, 1 Y 2.87, 3 Th 3.02

Properties
Its theoretical density is 8.372 Mg/m³. The calculation puts the uncorrected formation energy at -19.6 eV/f.u.

***

Entry from Alexandria: YEr3Th4Se8 after structural relaxation (PBE).

Unit cell a=8.4967 b=8.4967 c=8.4967 alpha=56.38 beta=56.38 gamma=56.38
With the nearest neighbours (Å) after each atom.
Fractional coordinates of all 16 atoms:
Y (0.0000, 0.0000, 0.0000)  6 Se 2.86
Er (0.0000, 0.5000, 0.5000)  6 Se 2.84
Er (0.5000, 0.0000, 0.5000)  6 Se 2.84
Er (0.5000, 0.5000, 0.0000)  6 Se 2.84
Th (0.0000, 0.0000, 0.5000)  6 Se 3.01
Th (0.0000, 0.5000, 0.0000)  6 Se 3.01
Th (0.5000, 0.0000, 0.0000)  6 Se 3.01
Th (0.5000, 0.5000, 0.5000)  6 Se 2.99
Se (0.2449, 0.2449, 0.7418)  2 Er 2.84, 1 Y 2.86, 3 Th 2.99-3.01
Se (0.2449, 0.7418, 0.2449)  2 Er 2.84, 1 Y 2.86, 3 Th 2.99-3.01
Se (0.2566, 0.2566, 0.2566)  3 Er 2.84, 3 Th 3.01
Se (0.2582, 0.7551, 0.7551)  2 Er 2.84, 1 Y 2.86, 3 Th 2.99-3.01
Se (0.7418, 0.2449, 0.2449)  2 Er 2.84, 1 Y 2.86, 3 Th 2.99-3.01
Se (0.7434, 0.7434, 0.7434)  3 Er 2.84, 3 Th 3.01
Se (0.7551, 0.2582, 0.7551)  2 Er 2.84, 1 Y 2.86, 3 Th 2.99-3.01
Se (0.7551, 0.7551, 0.2582)  2 Er 2.84, 1 Y 2.86, 3 Th 2.99-3.01

Properties
Its theoretical density is 8.985 Mg/m³. The calculation puts the uncorrected formation energy at -26.1 eV/f.u.

***

Entry from Alexandria: YErTh2Se4 after structural relaxation (PBE).

Unit cell a=6.9352 b=4.0382 c=7.5111 alpha=90.00 beta=108.24 gamma=90.00
With the nearest neighbours (Å) after each atom.
Fractional coordinates of all 8 atoms:
Y (0.0000, 0.0000, 0.0000)  6 Se 2.86
Er (0.5000, 0.5000, 0.0000)  6 Se 2.84
Th (0.0000, 0.5000, 0.5000)  6 Se 3.01-3.02
Th (0.5000, 0.0000, 0.5000)  6 Se 3.00
Se (0.2468, 0.5000, 0.2329)  1 Er 2.84, 2 Y 2.86, 3 Th 3.00-3.02
Se (0.2582, 0.0000, 0.7685)  2 Er 2.84, 1 Y 2.86, 3 Th 3.00-3.01
Se (0.7418, 0.0000, 0.2315)  2 Er 2.84, 1 Y 2.86, 3 Th 3.00-3.01
Se (0.7532, 0.5000, 0.7671)  1 Er 2.84, 2 Y 2.86, 3 Th 3.00-3.02

Properties
Its theoretical density is 8.612 Mg/m³. The calculation puts the uncorrected formation energy at -13.0 eV/f.u.